## w
Below is YRu3F after structural relaxation, with properties calculated at the PBE level.

a b c (Å): 5.011 5.011 5.011
angles (deg): 90.00 90.00 90.00
Fractional positions:
Y: 0.000 0.000 0.000
Ru: 0.000 0.000 0.500
Ru: 0.000 0.500 0.000
Ru: 0.500 0.000 0.000
F: 0.500 0.500 0.500

Output
* density of states at the Fermi level: 5.66 states/eV per cell
* total magnetization: 5.79 μB per formula unit

## x
Below is YRu3F after structural relaxation, with properties calculated at the PBE level.

a b c (Å): 4.323 4.323 4.323
angles (deg): 90.00 90.00 90.00
Fractional positions:
Y: 0.000 0.000 0.000
Ru: 0.000 0.500 0.500
Ru: 0.500 0.000 0.500
Ru: 0.500 0.500 0.000
F: 0.500 0.500 0.500

Output
* density of states at the Fermi level: 6.86 states/eV per cell
* total magnetization: 0.00 μB per formula unit

Most stable to least stable, the ends of the list are x and w.

## w
Below is Y2RuF after structural relaxation, with properties calculated at the PBE level.

a b c (Å): 7.215 7.215 7.215
angles (deg): 134.07 134.07 66.98
Fractional positions:
Y: 0.090 0.625 0.965
Y: 0.375 0.340 0.465
Y: 0.660 0.125 0.035
Y: 0.875 0.910 0.535
Ru: 0.250 0.750 0.500
Ru: 0.500 0.500 0.000
F: 0.000 0.000 0.000
F: 0.750 0.250 0.500

Output
* density of states at the Fermi level: 3.38 states/eV per cell
* total magnetization: 0.00 μB per formula unit

## x
Below is Y2RuF after structural relaxation, with properties calculated at the PBE level.

a b c (Å): 4.787 4.787 4.787
angles (deg): 60.00 60.00 60.00
Fractional positions:
Y: 0.250 0.250 0.250
Y: 0.750 0.750 0.750
Ru: 0.000 0.000 0.000
F: 0.500 0.500 0.500

Output
* density of states at the Fermi level: 2.83 states/eV per cell
* total magnetization: 0.00 μB per formula unit

Most stable to least stable, the ends of the list are w and x.